# 1
## Re2HW (meta-GGA SCAN)

Data for a PBEsol-optimized structure of Re2HW.

- spin magnetization (μB per formula unit) = 0.00
- Fermi-level density of states (states/eV per atom) = 0.4304
- VASP energy (eV per atom) = -52.94

Unit cell a=5.968 b=5.968 c=5.968 alpha=90.00 beta=90.00 gamma=90.00
Space group Fm-3m (No. 225)
Symmetry-distinct sites (fractional):
Re 0.250 0.250 0.250 (multiplicity 8)
H 0.000 0.000 0.000 (multiplicity 4)
W 0.000 0.000 0.500 (multiplicity 4)


# 2
## Sb2OsPt (meta-GGA SCAN)

Data for a PBEsol-optimized structure of Sb2OsPt.

- spin magnetization (μB per formula unit) = 0.00
- energy above the lowest structure with this stoichiometry (eV/atom) = 0.152
- Fermi-level density of states (states/eV per atom) = 0.6687
- raw formation energy (eV per atom) = 0.4236
- VASP energy (eV per atom) = -53.73

Unit cell a=3.219 b=3.219 c=7.015 alpha=90.00 beta=90.00 gamma=90.00
Space group P4/mmm (No. 123)
Symmetry-distinct sites (fractional):
Sb 0.000 0.000 0.242 (multiplicity 2)
Os 0.500 0.500 0.000 (multiplicity 1)
Pt 0.500 0.500 0.500 (multiplicity 1)